The following is a GGA-PBE calculation of an optimized crystal structure of NaCa3Rh, from Alexandria via LeMat-Bulk.

The structure in extended XYZ format:
```
10
Lattice="6.1367 0.0000 0.0000 -2.4810 5.6624 0.0000 -1.7848 -2.7416 9.0050" Properties=species:S:1:pos:R:3 pbc="T T T"
Na 0.7616 1.2454 0.0425
Na 1.1093 1.6753 8.9625
Ca -1.6160 1.1237 6.7350
Ca 0.0224 0.0422 3.7392
Ca 0.2185 3.9603 2.2609
Ca 1.6525 -1.0395 6.7442
Ca 1.8485 2.8786 5.2659
Ca 3.4870 1.7970 2.2701
Rh -1.2163 2.8782 4.5014
Rh 3.0872 0.0426 4.5036
```

Calculated values
Calculated volume (Å³/cell): 313
DFT formation energy (kJ/mol of atoms): -19.37
SG: P-1
Total magnetic moment (μB per formula unit): 0.00
Final energy (eV per atom): -3.136

=====

The following is a GGA-PBE calculation of an optimized crystal structure of CsScMn2Se4, from Alexandria via LeMat-Bulk.

The structure in extended XYZ format:
```
8
Lattice="-3.2828 4.4141 4.7673 3.2828 -4.4141 4.7673 3.2828 4.4141 -4.7673" Properties=species:S:1:pos:R:3 pbc="T T T"
Cs 0.0000 0.0000 0.0000
Sc 0.0000 0.0000 4.7673
Mn 3.2828 0.0000 3.8044
Mn 0.0000 4.4141 0.9629
Se 1.7416 3.0039 -1.5530
Se 1.5412 1.4102 3.2143
Se 1.5412 -1.4102 6.3203
Se 1.7416 5.8243 1.5530
```

Calculated values
Calculated volume (Å³/cell): 276
Formation energy from raw total energies (eV per atom): -0.594
SG: I222
Total magnetic moment (μB per formula unit): 4.01
Final energy (eV per atom): -5.527

=====

The following is a GGA-PBE calculation of an optimized crystal structure of ScReRu2, from Alexandria via LeMat-Bulk.

The structure in extended XYZ format:
```
4
Lattice="1.4237 0.8220 8.8744 -1.4237 0.8220 8.8744 0.0000 -1.6440 8.8744" Properties=species:S:1:pos:R:3 pbc="T T T"
Sc 0.0000 0.0000 0.0000
Re 0.0000 0.0000 13.3116
Ru 0.0000 0.0000 6.5643
Ru 0.0000 0.0000 20.0588
```

Calculated values
Calculated volume (Å³/cell): 62
DFT formation energy (kJ/mol of atoms): 9.95
SG: R-3m
Total magnetic moment (μB per formula unit): 0.00
Final energy (eV per atom): -9.230

=====

The following is a GGA-PBE calculation of an optimized crystal structure of NpH6Pt, from Alexandria via LeMat-Bulk.

The structure in extended XYZ format:
```
8
Lattice="2.2278 1.2862 4.0539 -2.2278 1.2862 4.0539 0.0000 -2.5724 4.0539" Properties=species:S:1:pos:R:3 pbc="T T T"
Np 0.0000 0.0000 0.0000
H -1.1991 -0.6923 5.1038
H 0.0000 -1.3846 7.0579
H -1.1991 0.6923 7.0579
H 1.1991 -0.6923 5.1038
H 0.0000 1.3846 5.1038
H 1.1991 0.6923 7.0579
Pt 0.0000 0.0000 6.0809
```

Calculated values
Calculated volume (Å³/cell): 70
SG: R-3m
Total magnetic moment (μB per formula unit): 4.49
Final energy (eV per atom): -5.018